(1)
DFT (PBE-GGA) results for a relaxed structure of KMnAl2Ag.

Cell: 4.8004 4.8004 5.2672 Å, 90.00 90.00 90.00°
With the nearest neighbours (Å) after each atom.
Element x y z (fractional)
K (0.0000, 0.0000, 0.0000)  4 Ag 3.39, 8 Al 3.56
Mn (0.5000, 0.5000, 0.5000)  4 Al 2.40, 2 Ag 2.63
Al (0.0000, 0.5000, 0.5000)  2 Mn 2.40
Al (0.5000, 0.0000, 0.5000)  2 Mn 2.40
Ag (0.5000, 0.5000, 0.0000)  2 Mn 2.63

Summary:
The calculated volume comes out at 24.28 Å³/atom. As for the formation energy from the elements: 354 meV/atom.

---

(2)
DFT (PBE-GGA) results for a relaxed structure of KNaAl2Ag.

Cell: 5.0212 5.0212 6.0791 Å, 90.00 90.00 90.00°
With the nearest neighbours (Å) after each atom.
Element x y z (fractional)
K (0.0000, 0.0000, 0.0000)  2 Ag 3.04
Na (0.5000, 0.5000, 0.0000)  4 K 3.55, 8 Al 3.94
Al (0.0000, 0.5000, 0.5000)  2 Ag 2.51
Al (0.5000, 0.0000, 0.5000)  2 Ag 2.51
Ag (0.0000, 0.0000, 0.5000)  4 Al 2.51

Summary:
The calculated volume comes out at 30.65 Å³/atom. As for the formation energy from the elements: 302 meV/atom.

---

(3)
DFT (PBE-GGA) results for a relaxed structure of KAlAgOs2.

Cell: 4.5996 4.5996 4.9368 Å, 90.00 90.00 90.00°
With the nearest neighbours (Å) after each atom.
Element x y z (fractional)
K (0.0000, 0.0000, 0.0000)  4 Os 2.30, 2 Al 2.47
Al (0.0000, 0.0000, 0.5000)  2 K 2.47
Ag (0.5000, 0.5000, 0.5000)  4 Al 3.25, 8 Os 3.37
Os (0.0000, 0.5000, 0.0000)  2 K 2.30
Os (0.5000, 0.0000, 0.0000)  2 K 2.30

Summary:
The calculated volume comes out at 20.89 Å³/atom. As for the formation energy from the elements: 3125 meV/atom.

---

(4)
DFT (PBE-GGA) results for a relaxed structure of KAl2AgS4.

Cell: 7.7320 7.7320 7.7320 Å, 139.70 139.70 58.32°
With the nearest neighbours (Å) after each atom.
Element x y z (fractional)
K (0.0000, 0.0000, 0.0000)  4 S 2.91
Al (0.2500, 0.7500, 0.5000)  4 S 2.30
Al (0.7500, 0.2500, 0.5000)  4 S 2.30
Ag (0.5000, 0.5000, 0.0000)  4 S 2.69
S (0.1182, 0.5750, 0.0000)  2 Al 2.30
S (0.4250, 0.4250, 0.5432)  2 Al 2.30
S (0.5750, 0.1182, 0.0000)  2 Al 2.30
S (0.8818, 0.8818, 0.4568)  2 Al 2.30

Summary:
The calculated volume comes out at 23.96 Å³/atom. The value obtained for the uncorrected formation energy is -0.8999 eV per atom.

---

Number 1: density 3.5 g cm⁻³, uncorrected energy -3.767 eV/atom. Number 2: density 2.4 g cm⁻³, uncorrected energy -2.249 eV/atom. Number 3: density 8.8 g cm⁻³, uncorrected energy -2.905 eV/atom. Number 4: density 2.9 g cm⁻³, uncorrected energy -4.393 eV/atom.